GGA-PBE Ce2PaPb, relaxed; magnetic moment = 0.54 μB per atom; polymorph energy (0 for the lowest one) = 0.0658 eV/atom; energy of formation from the pure elements = -0.041 eV per atom; D(E_F) = 2.9895 states/eV/atom; crystal system = tetragonal
1.0
3.9667 0.0000 0.0000
0.0000 3.9667 0.0000
0.0000 0.0000 6.9257
Ce Pa Pb
2 1 1
direct
0.0000 0.0000 0.2463
0.0000 0.0000 0.7537
0.5000 0.5000 0.0000
0.5000 0.5000 0.5000

GGA-PBE Ce2PaPb, relaxed; magnetic moment = 0.00 μB per atom; polymorph energy (0 for the lowest one) = 0.3768 eV/atom; energy of formation from the pure elements = 0.270 eV per atom; D(E_F) = 2.4429 states/eV/atom; crystal system = trigonal
1.0
1.9417 1.1210 8.3691
-1.9417 1.1210 8.3691
0.0000 -2.2421 8.3691
Ce Pa Pb
2 1 1
direct
0.2316 0.2316 0.2316
0.7684 0.7684 0.7684
0.5000 0.5000 0.5000
0.0000 0.0000 0.0000

GGA-PBE Ce2PaPb, relaxed; magnetic moment = 0.59 μB per atom; polymorph energy (0 for the lowest one) = 0.0000 eV/atom; energy of formation from the pure elements = -0.107 eV per atom; D(E_F) = 2.7205 states/eV/atom; crystal system = tetragonal
1.0
4.8203 0.0000 0.0000
0.0000 4.8203 0.0000
0.0000 0.0000 4.6666
Ce Pa Pb
2 1 1
direct
0.0000 0.5000 0.0000
0.5000 0.0000 0.0000
0.0000 0.0000 0.5000
0.5000 0.5000 0.5000

GGA-PBE Ce2PaPb, relaxed; magnetic moment = 0.96 μB per atom; polymorph energy (0 for the lowest one) = 0.1744 eV/atom; energy of formation from the pure elements = 0.067 eV per atom; D(E_F) = 2.9703 states/eV/atom; crystal system = cubic
1.0
0.0000 3.8154 3.8154
3.8154 0.0000 3.8154
3.8154 3.8154 0.0000
Ce Pa Pb
2 1 1
direct
0.2500 0.2500 0.2500
0.7500 0.7500 0.7500
0.0000 0.0000 0.0000
0.5000 0.5000 0.5000

GGA-PBE CePa2Pb9, relaxed; magnetic moment = 0.08 μB per atom; energy of formation from the pure elements = -0.123 eV per atom; D(E_F) = 1.2719 states/eV/atom; crystal system = tetragonal
1.0
4.8453 0.0000 0.0000
0.0000 4.8453 0.0000
0.0000 0.0000 14.5560
Ce Pa Pb
1 2 9
direct
0.0000 0.0000 0.0000
0.0000 0.0000 0.3369
0.0000 0.0000 0.6631
0.0000 0.5000 0.1701
0.0000 0.5000 0.5000
0.0000 0.5000 0.8299
0.5000 0.0000 0.1701
0.5000 0.0000 0.5000
0.5000 0.0000 0.8299
0.5000 0.5000 0.0000
0.5000 0.5000 0.3346
0.5000 0.5000 0.6654

GGA-PBE CePaPb2S6, relaxed; magnetic moment = 0.11 μB per atom; formation energy (no corrections) = -1233 meV/atom; D(E_F) = 0.9620 states/eV/atom; crystal system = trigonal
1.0
3.6373 2.1000 6.2277
-3.6373 2.1000 6.2277
0.0000 -4.2000 6.2277
Ce Pa Pb S
1 1 2 6
direct
0.0000 0.0000 0.0000
0.4967 0.4967 0.4967
0.2929 0.2929 0.2929
0.7954 0.7954 0.7954
0.1391 0.7092 0.3716
0.2314 0.6312 0.8479
0.3716 0.1391 0.7092
0.6312 0.8479 0.2314
0.7092 0.3716 0.1391
0.8479 0.2314 0.6312